1.
This record from Alexandria via LeMat-Bulk describes a crystal of Ta5Tc24 relaxed with PBEsol. The functional is meta-GGA SCAN.

Results
The calculation puts the uncorrected energy at -2359.8 eV/cell. As for the size of the total moment: 0.000 μB/atom. Its density of states at the Fermi level is 67.7 states/eV per cell. The energy of formation is -0.192 eV per atom. As for the density: 12.631 g cm⁻³.

a b c (Å): 9.4959 9.4959 9.4959
angles (deg): 90.00 90.00 90.00
Space group I-43m (No. 217)
Unique sites:
Ta (0.0000, 0.0000, 0.0000)
Ta (0.1850, 0.1850, 0.1850)
Tc (0.0381, 0.3581, 0.6419)
Tc (0.0903, 0.0903, 0.7154)

=====

2.
This record from Alexandria via LeMat-Bulk describes a crystal of MgWF5 relaxed with PBEsol. The functional is meta-GGA SCAN.

Results
The calculation puts the uncorrected energy at -444.9 eV/cell. As for the size of the total moment: 0.429 μB/atom. As for the density: 5.513 g cm⁻³.

a b c (Å): 5.0163 10.4385 7.3715
angles (deg): 90.00 108.89 90.00
Space group P2_1/c (No. 14)
Unique sites:
Mg (0.0244, 0.0068, 0.2284)
W (0.3959, 0.2447, 0.6279)
F (0.0816, 0.1122, 0.5991)
F (0.1498, 0.0972, 0.0128)
F (0.2712, 0.6331, 0.3241)
F (0.3608, 0.1563, 0.3666)
F (0.3646, 0.5912, 0.7659)

=====

3.
This record from Alexandria via LeMat-Bulk describes a crystal of LiMgPb2 relaxed with PBEsol. The functional is meta-GGA SCAN.

Results
The calculation puts the uncorrected energy at -159.7 eV/cell. As for the size of the total moment: 0.000 μB/atom. Its density of states at the Fermi level is 1.2 states/eV per cell. The energy of formation is -0.196 eV per atom. As for the density: 7.474 g cm⁻³.

a b c (Å): 3.5599 4.5334 6.1349
angles (deg): 90.00 90.00 90.00
Space group Pmm2 (No. 25)
Unique sites:
Li (0.0000, 0.0000, 0.0000)
Mg (0.5000, 0.5000, 0.2663)
Pb (0.0000, 0.0000, 0.4943)
Pb (0.5000, 0.5000, 0.7774)

=====

4.
This record from Alexandria via LeMat-Bulk describes a crystal of Cs2RbFeI relaxed with PBEsol. The functional is meta-GGA SCAN.

Results
The calculation puts the uncorrected energy at -150.2 eV/cell. As for the size of the total moment: 0.454 μB/atom. Its density of states at the Fermi level is 5.8 states/eV per cell. As for the density: 3.183 g cm⁻³.

a b c (Å): 7.4731 7.4731 4.9888
angles (deg): 90.00 90.00 90.00
Space group P4/mmm (No. 123)
Unique sites:
Cs (0.0000, 0.5000, 0.0000)
Rb (0.0000, 0.0000, 0.5000)
Fe (0.5000, 0.5000, 0.5000)
I (0.5000, 0.5000, 0.0000)

=====

Question: size of the total moment of number 2 (MgWF5)?
Answer: 0.429 μB/atom